First-principles (GGA-PBE) data for an optimized crystal structure of VSbPt3, as listed in Alexandria via LeMat-Bulk.

a b c (Å): 4.6904 4.6904 4.6904
angles (deg): 90.00 90.00 90.00
Last column: nearest neighbours and their distance in Å.
Positions (direct):
Sb1 0.5000 0.5000 0.5000  12 Pt 3.32
Pt1 0.0000 0.5000 0.0000  2 V 2.35
Pt2 0.0000 0.0000 0.5000  2 V 2.35
Pt3 0.5000 0.0000 0.0000  2 V 2.35
V1 0.0000 0.0000 0.0000  6 Pt 2.35

## Properties
**Uncorrected energy**: -5.71 eV per atom
**Uncorrected formation energy**: 563 meV/atom
**Energy relative to the lowest polymorph listed for this composition**: 0 meV per atom
**Magnetization**: 0.000 μB/atom
**Space-group type**: Pm-3m (221)

=====

First-principles (GGA-PBE) data for an optimized crystal structure of Nd6In2C, as listed in Alexandria via LeMat-Bulk.

a b c (Å): 3.6879 9.0019 8.9932
angles (deg): 120.03 90.00 90.00
Last column: nearest neighbours and their distance in Å.
Positions (direct):
Nd1 0.5000 0.5906 0.0000  4 In 3.29
Nd2 0.5000 0.4083 0.4082  4 In 3.29, 1 C 3.67, 4 Nd 3.68
Nd3 0.5000 0.0001 0.5918  4 In 3.29, 1 C 3.67, 4 Nd 3.68
Nd4 0.0000 0.2176 0.0000  2 C 2.68
Nd5 0.0000 0.7828 0.7829  2 C 2.69
Nd6 0.0000 0.9998 0.2171  2 C 2.69
In1 0.0000 0.3331 0.6662  9 Nd 3.29-3.64
In2 0.0000 0.6669 0.3338  9 Nd 3.29-3.64
C1 0.5000 0.0009 0.0000  6 Nd 2.68-2.69

## Properties
**Uncorrected energy**: -4.96 eV per atom
**Calculated formation energy**: -1.31 eV per formula unit
**Energy relative to the lowest polymorph listed for this composition**: 171 meV per atom
**Magnetization**: 0.000 μB/atom
**Space-group type**: Amm2 (38)

=====

First-principles (GGA-PBE) data for an optimized crystal structure of La3Sb2, as listed in Alexandria via LeMat-Bulk.

a b c (Å): 6.3529 6.3529 9.3165
angles (deg): 109.93 109.93 90.00
Last column: nearest neighbours and their distance in Å.
Positions (direct):
La1 0.1325 0.8825 0.2649  2 La 3.18, 2 Sb 3.29
La2 0.1324 0.3825 0.7649  2 La 3.18, 2 Sb 3.29
La3 0.6325 0.3825 0.7649  2 La 3.18, 2 Sb 3.29
La4 0.1325 0.3824 0.2649  2 La 3.18, 2 Sb 3.29
La5 0.5074 0.0074 0.0148  6 Sb 3.24-3.29
La6 0.7574 0.7574 0.5148  6 Sb 3.24-3.29
Sb1 0.9559 0.9559 0.9119  5 La 3.24-3.29
Sb2 0.7059 0.2059 0.4119  5 La 3.24-3.29
Sb3 0.5589 0.5589 0.1178  5 La 3.24-3.29
Sb4 0.3089 0.8089 0.6178  5 La 3.24-3.29

## Properties
**Uncorrected energy**: -5.53 eV per atom
**Uncorrected formation energy**: -920 meV/atom
**Energy relative to the lowest polymorph listed for this composition**: 0 meV per atom
**Magnetization**: 0.094 μB/atom
**Space-group type**: I4_1/amd (141)

=====

First-principles (GGA-PBE) data for an optimized crystal structure of Pm2Zn6Cu, as listed in Alexandria via LeMat-Bulk.

a b c (Å): 5.6082 5.8925 5.8925
angles (deg): 60.15 89.88 89.88
Last column: nearest neighbours and their distance in Å.
Positions (direct):
Pm1 0.8268 0.3333 0.3333  12 Zn 3.07-3.26
Pm2 0.1732 0.6667 0.6667  12 Zn 3.07-3.26
Zn1 0.3253 0.6522 0.1737  1 Cu 2.55, 4 Zn 2.64-2.83
Zn2 0.3250 0.1735 0.1735  1 Cu 2.54, 4 Zn 2.64-2.82
Zn3 0.3253 0.1737 0.6522  1 Cu 2.55, 4 Zn 2.64-2.83
Zn4 0.6747 0.3478 0.8263  1 Cu 2.55, 4 Zn 2.64-2.83
Zn5 0.6750 0.8265 0.8265  1 Cu 2.54, 4 Zn 2.64-2.82
Zn6 0.6747 0.8263 0.3478  1 Cu 2.55, 4 Zn 2.64-2.83
Cu1 0.0000 0.0000 0.0000  6 Zn 2.54-2.55

## Properties
**Uncorrected energy**: -2.63 eV per atom
**Calculated formation energy**: -2.45 eV per formula unit
**Magnetization**: 0.000 μB/atom
**Space-group type**: C2/m (12)

=====

First-principles (GGA-PBE) data for an optimized crystal structure of TbAg2BiSe4, as listed in Alexandria via LeMat-Bulk.

a b c (Å): 4.1945 6.9790 7.2917
angles (deg): 69.45 90.00 90.00
Last column: nearest neighbours and their distance in Å.
Positions (direct):
Tb1 0.0000 0.5000 0.5000  6 Se 2.91-2.93
Ag1 0.0000 0.0000 0.0000  6 Se 2.93-2.94
Ag2 0.5000 0.0000 0.5000  6 Se 2.88-2.91
Bi1 0.5000 0.5000 0.0000  6 Se 2.95-2.97
Se1 0.0000 0.7579 0.7417  3 Ag 2.88-2.94, 1 Tb 2.93, 2 Bi 2.97
Se2 0.0000 0.2421 0.2583  3 Ag 2.88-2.94, 1 Tb 2.93, 2 Bi 2.97
Se3 0.5000 0.7497 0.2538  2 Tb 2.91, 3 Ag 2.91-2.93, 1 Bi 2.95
Se4 0.5000 0.2503 0.7462  2 Tb 2.91, 3 Ag 2.91-2.93, 1 Bi 2.95

## Properties
**Uncorrected energy**: -4.23 eV per atom
**Uncorrected formation energy**: -710 meV/atom
**Magnetization**: 0.000 μB/atom
**Space-group type**: P2/m (10)

=====

First-principles (GGA-PBE) data for an optimized crystal structure of Mg2In2Tc, as listed in Alexandria via LeMat-Bulk.

a b c (Å): 7.2350 7.2350 4.0396
angles (deg): 90.00 90.00 90.00
Last column: nearest neighbours and their distance in Å.
Positions (direct):
Mg1 0.1672 0.6672 0.5000  6 In 2.79-3.03
Mg2 0.6672 0.8328 0.5000  6 In 2.79-3.03
Mg3 0.8328 0.3328 0.5000  6 In 2.79-3.03
Mg4 0.3328 0.1672 0.5000  6 In 2.79-3.03
Tc1 0.0000 0.0000 0.0000  4 In 2.78
Tc2 0.5000 0.5000 0.0000  4 In 2.78
In1 0.3554 0.8554 0.0000  2 Tc 2.78, 6 Mg 2.79-3.03, 1 In 2.96
In2 0.8554 0.6446 0.0000  2 Tc 2.78, 6 Mg 2.79-3.03, 1 In 2.96
In3 0.6446 0.1446 0.0000  2 Tc 2.78, 6 Mg 2.79-3.03, 1 In 2.96
In4 0.1446 0.3554 0.0000  2 Tc 2.78, 6 Mg 2.79-3.03, 1 In 2.96

## Properties
**Uncorrected energy**: -3.46 eV per atom
**Calculated formation energy**: 1.73 eV per formula unit
**Magnetization**: 0.000 μB/atom
**Space-group type**: P4/mbm (127)

=====

First-principles (GGA-PBE) data for an optimized crystal structure of NaCO3, as listed in Alexandria via LeMat-Bulk.

a b c (Å): 6.6015 6.6015 6.6015
angles (deg): 45.96 45.96 45.96
Last column: nearest neighbours and their distance in Å.
Positions (direct):
Na1 0.5000 0.5000 0.5000  6 O 2.46
Na2 0.0000 0.0000 0.0000  6 O 2.46
C1 0.7500 0.7500 0.7500  3 O 1.28
C2 0.2500 0.2500 0.2500  3 O 1.28
O1 0.5016 0.7500 0.9984  1 C 1.28
O2 0.7500 0.9984 0.5016  1 C 1.28
O3 0.0016 0.4984 0.2500  1 C 1.28
O4 0.4984 0.2500 0.0016  1 C 1.28
O5 0.2500 0.0016 0.4984  1 C 1.28
O6 0.9984 0.5016 0.7500  1 C 1.28

## Properties
**Uncorrected energy**: -6.46 eV per atom
**Uncorrected formation energy**: -1373 meV/atom
**Magnetization**: 0.196 μB/atom
**Space-group type**: R-3c (167)

=====

First-principles (GGA-PBE) data for an optimized crystal structure of BaBe2W, as listed in Alexandria via LeMat-Bulk.

a b c (Å): 4.6052 4.6052 8.9435
angles (deg): 75.08 75.08 90.00
Last column: nearest neighbours and their distance in Å.
Positions (direct):
Be1 0.8750 0.1250 0.2500  2 Be 2.30, 2 W 2.38
Be2 0.8750 0.6250 0.2500  2 Be 2.30, 2 W 2.38
Be3 0.3750 0.1250 0.7500  2 Be 2.30, 2 W 2.38
Be4 0.8750 0.1250 0.7500  2 Be 2.30, 2 W 2.38
Ba1 0.5000 0.5000 0.0000  4 W 3.26, 8 Be 3.31
Ba2 0.2500 0.7500 0.5000  4 W 3.26, 8 Be 3.31
W1 0.0000 0.0000 0.0000  4 Be 2.38
W2 0.7500 0.2500 0.5000  4 Be 2.38

## Properties
**Uncorrected energy**: -4.47 eV per atom
**Calculated formation energy**: 4.47 eV per formula unit
**Energy relative to the lowest polymorph listed for this composition**: 571 meV per atom
**Magnetization**: 0.137 μB/atom
**Space-group type**: I4_1/amd (141)

=====

First-principles (GGA-PBE) data for an optimized crystal structure of KFe2Hg, as listed in Alexandria via LeMat-Bulk.

a b c (Å): 2.9470 2.9470 9.5678
angles (deg): 90.00 90.00 90.06
Last column: nearest neighbours and their distance in Å.
Positions (direct):
Fe1 0.0000 0.0000 0.0508  4 Hg 2.82-2.83, 4 Fe 2.95
Fe2 0.0000 0.0000 0.4492  4 Hg 2.82-2.83, 4 Fe 2.95
Hg1 0.5000 0.5000 0.2500  8 Fe 2.82-2.83, 4 Hg 2.95
K1 0.5000 0.5000 0.7500  4 K 2.95

## Properties
**Uncorrected energy**: -3.64 eV per atom
**Calculated formation energy**: 3.77 eV per formula unit
**Magnetization**: 1.325 μB/atom
**Space-group type**: P4/mmm (123)

=====

First-principles (GGA-PBE) data for an optimized crystal structure of NdBiO3, as listed in Alexandria via LeMat-Bulk.

a b c (Å): 6.4813 7.4343 6.9051
angles (deg): 89.15 90.00 90.00
Last column: nearest neighbours and their distance in Å.
Positions (direct):
Nd1 0.6881 0.6489 0.1302  7 O 2.40-2.55
Nd2 0.3119 0.3511 0.8698  7 O 2.40-2.55
Nd3 0.1881 0.3511 0.3698  7 O 2.40-2.55
Nd4 0.8119 0.6489 0.6302  7 O 2.40-2.55
Bi1 0.3096 0.8466 0.6251  3 O 2.12-2.22
Bi2 0.6904 0.1534 0.3749  3 O 2.12-2.22
Bi3 0.8096 0.1534 0.8749  3 O 2.12-2.22
Bi4 0.1904 0.8466 0.1251  3 O 2.12-2.22
O1 0.9616 0.7946 0.3382  1 Bi 2.12
O2 0.0384 0.2054 0.6618  1 Bi 2.12
O3 0.4616 0.2054 0.1618  1 Bi 2.12
O4 0.5384 0.7946 0.8382  1 Bi 2.12
O5 0.5459 0.7934 0.4146  1 Bi 2.15
O6 0.4541 0.2066 0.5854  1 Bi 2.15
O7 0.0459 0.2066 0.0854  1 Bi 2.15
O8 0.9541 0.7934 0.9146  1 Bi 2.15
O9 0.1940 0.5657 0.6309  1 Bi 2.22, 2 Nd 2.40-2.43
O10 0.8060 0.4343 0.3691  1 Bi 2.22, 2 Nd 2.40-2.43
O11 0.6940 0.4343 0.8691  1 Bi 2.22, 2 Nd 2.40-2.43
O12 0.3060 0.5657 0.1309  1 Bi 2.22, 2 Nd 2.40-2.43

## Properties
**Uncorrected energy**: -6.93 eV per atom
**Uncorrected formation energy**: -2222 meV/atom
**Magnetization**: 0.000 μB/atom
**Space-group type**: P2_1/c (14)